No. 1
Density functional theory data (PBE) for an optimized crystal structure of Ga2CoBOs.

Summary:
Symmetry: P4/mmm (123)
DFT formation energy: 0.5793 eV/atom
Total magnetization: 0.01 μB/cell

a = 4.2221 Å, b = 4.2221 Å, c = 3.6199 Å
α = 90.00°, β = 90.00°, γ = 90.00°
With the nearest neighbours (Å) after each atom.
Sites, in units of the cell vectors:
Ga 0.0000 0.5000 0.0000  2 B 2.11
Ga 0.5000 0.0000 0.0000  2 B 2.11
Co 0.0000 0.0000 0.5000  2 B 1.81
B 0.0000 0.0000 0.0000  2 Co 1.81
Os 0.5000 0.5000 0.5000  8 Ga 2.78, 4 Co 2.99

No. 2
Density functional theory data (PBE) for an optimized crystal structure of Pa2GaCo6B.

Summary:
Symmetry: R-3m (166)
DFT formation energy: -0.3676 eV/atom
Total magnetization: 0.00 μB/cell

a = 12.2042 Å, b = 12.2042 Å, c = 12.2042 Å
α = 24.67°, β = 24.67°, γ = 24.67°
With the nearest neighbours (Å) after each atom.
Sites, in units of the cell vectors:
Pa 0.1190 0.1190 0.1190  6 Co 2.68
Pa 0.2872 0.2872 0.2872  6 Co 2.65
Pa 0.7128 0.7128 0.7128  6 Co 2.65
Pa 0.8810 0.8810 0.8810  6 Co 2.68
Ga 0.4190 0.4190 0.4190  6 Co 2.40
Ga 0.5810 0.5810 0.5810  6 Co 2.40
Co 0.1113 0.6477 0.6477  1 B 1.96
Co 0.2037 0.2037 0.6889  1 B 1.92
Co 0.2037 0.6889 0.2037  1 B 1.92
Co 0.3111 0.7963 0.7963  1 B 1.92
Co 0.3523 0.3523 0.8887  1 B 1.96
Co 0.3523 0.8887 0.3523  1 B 1.96
Co 0.6477 0.1113 0.6477  1 B 1.96
Co 0.6477 0.6477 0.1113  1 B 1.96
Co 0.6889 0.2037 0.2037  1 B 1.92
Co 0.7963 0.3111 0.7963  1 B 1.92
Co 0.7963 0.7963 0.3111  1 B 1.92
Co 0.8887 0.3523 0.3523  1 B 1.96
B 0.0000 0.0000 0.0000  6 Co 1.92
B 0.5000 0.5000 0.5000  6 Co 1.96

No. 3
Density functional theory data (PBE) for an optimized crystal structure of Pa3GaCo9B2.

Summary:
Symmetry: P-3m1 (164)
DFT formation energy: -0.3696 eV/atom
Total magnetization: 0.00 μB/cell

a = 5.2958 Å, b = 5.2958 Å, c = 8.4267 Å
α = 90.00°, β = 90.00°, γ = 120.00°
With the nearest neighbours (Å) after each atom.
Sites, in units of the cell vectors:
Pa 0.0000 0.0000 0.0000  12 Co 2.65-2.81
Pa 0.3333 0.6667 0.6666  6 Co 2.69
Pa 0.6667 0.3333 0.3334  6 Co 2.69
Ga 0.0000 0.0000 0.5000  6 Co 2.39
Co 0.0000 0.5000 0.0000  2 B 1.96
Co 0.1648 0.3295 0.2805  1 B 1.92
Co 0.1648 0.8352 0.2805  1 B 1.92
Co 0.3295 0.1648 0.7195  1 B 1.92
Co 0.5000 0.0000 0.0000  2 B 1.96
Co 0.5000 0.5000 0.0000  2 B 1.96
Co 0.6705 0.8352 0.2805  1 B 1.92
Co 0.8352 0.1648 0.7195  1 B 1.92
Co 0.8352 0.6705 0.7195  1 B 1.92
B 0.3333 0.6667 0.1451  6 Co 1.92-1.96
B 0.6667 0.3333 0.8549  6 Co 1.92-1.96